--- a ---
Material: La4Dy5Ho
Method: DFT, PBE-GGA
State: relaxed

Results
Total moment = 0.00 μB/f.u.
D(E_F) = 29.87 states/eV/cell

a b c (Å): 17.206 3.550 11.465
angles (deg): 90.00 90.04 90.00
Space group C2/m (No. 12)
Symmetry-distinct sites (fractional):
La 0.033 0.000 0.250
La 0.162 0.500 0.750
Dy 0.000 0.500 0.500
Dy 0.173 0.000 0.048
Dy 0.173 0.000 0.451
Ho 0.000 0.500 0.000


--- b ---
Material: La4Dy5Ho
Method: DFT, PBE-GGA
State: relaxed

Results
Total moment = 0.00 μB/f.u.
D(E_F) = 27.29 states/eV/cell

a b c (Å): 10.743 10.743 6.064
angles (deg): 90.00 90.00 90.00
Space group I4mm (No. 107)
Symmetry-distinct sites (fractional):
La 0.000 0.323 0.000
Dy 0.000 0.000 0.250
Dy 0.188 0.188 0.512
Ho 0.000 0.000 0.772


Most stable to least stable: a, b


--- a ---
Material: LaDyHo
Method: DFT, PBE-GGA
State: relaxed

Results
Total moment = 0.00 μB/f.u.
D(E_F) = 4.91 states/eV/cell

a b c (Å): 5.7281 5.7281 3.5160
angles (deg): 90.00 90.00 120.00
Space group P-6m2 (No. 187)
Symmetry-distinct sites (fractional):
La 0.0000 0.0000 0.0000
Dy 0.6667 0.3333 0.5000
Ho 0.3333 0.6667 0.5000


--- b ---
Material: LaDyHo
Method: DFT, PBE-GGA
State: relaxed

Results
Total moment = 0.00 μB/f.u.
D(E_F) = 12.20 states/eV/cell

a b c (Å): 6.476 3.528 8.858
angles (deg): 90.00 90.00 90.00
Space group Pmma (No. 51)
Symmetry-distinct sites (fractional):
La 0.250 0.000 0.152
Dy 0.250 0.500 0.799
Ho 0.000 0.000 0.500


--- c ---
Material: LaDyHo
Method: DFT, PBE-GGA
State: relaxed

Results
Total moment = 0.00 μB/f.u.
D(E_F) = 8.44 states/eV/cell

a b c (Å): 3.620 3.620 15.221
angles (deg): 90.00 90.00 90.00
Space group I4mm (No. 107)
Symmetry-distinct sites (fractional):
La 0.000 0.000 0.000
Dy 0.000 0.000 0.670
Ho 0.000 0.000 0.330


Most stable to least stable: c, a, b


--- a ---
Material: LaDyHo
Method: DFT, PBE-GGA
State: relaxed

Results
Total moment = 0.00 μB/f.u.
D(E_F) = 4.08 states/eV/cell

a b c (Å): 3.6082 3.6082 8.7993
angles (deg): 90.00 90.00 120.00
Space group P3m1 (No. 156)
Symmetry-distinct sites (fractional):
La 0.0000 0.0000 0.0000
Dy 0.6667 0.3333 0.3401
Ho 0.3333 0.6667 0.6614


--- b ---
Material: LaDyHo
Method: DFT, PBE-GGA
State: relaxed

Results
Total moment = 0.00 μB/f.u.
D(E_F) = 20.53 states/eV/cell

a b c (Å): 3.557 20.434 5.491
angles (deg): 90.00 90.00 90.00
Space group Cmcm (No. 63)
Symmetry-distinct sites (fractional):
La 0.000 0.205 0.250
Dy 0.000 0.040 0.250
Ho 0.000 0.388 0.250


Most stable to least stable: a, b


--- a ---
Material: La2Dy5Ho12
Method: DFT, PBE-GGA
State: relaxed

Results
Total moment = 0.00 μB/f.u.
D(E_F) = 28.69 states/eV/cell

a b c (Å): 6.744 8.765 11.392
angles (deg): 111.04 92.52 100.62
Space group P-1 (No. 2)
Symmetry-distinct sites (fractional):
La 0.154 0.384 0.074
Dy 0.046 0.181 0.460
Dy 0.380 0.737 0.985
Dy 0.500 0.000 0.500
Ho 0.119 0.781 0.249
Ho 0.154 0.976 0.866
Ho 0.168 0.571 0.685
Ho 0.340 0.556 0.414
Ho 0.384 0.140 0.233
Ho 0.386 0.304 0.773


--- b ---
Material: La2Dy5Ho12
Method: DFT, PBE-GGA
State: relaxed

Results
Total moment = 0.00 μB/f.u.
D(E_F) = 54.84 states/eV/cell

a b c (Å): 15.785 9.222 8.512
angles (deg): 90.00 91.13 90.00
Space group C2/m (No. 12)
Symmetry-distinct sites (fractional):
La 0.000 0.189 0.000
Dy 0.000 0.500 0.500
Dy 0.197 0.000 0.007
Dy 0.233 0.500 0.578
Ho 0.058 0.000 0.327
Ho 0.095 0.500 0.883
Ho 0.126 0.191 0.649
Ho 0.158 0.320 0.246


Most stable to least stable: a, b


--- a ---
Material: LaDy2Ho2
Method: DFT, PBE-GGA
State: relaxed

Results
Total moment = 0.00 μB/f.u.
D(E_F) = 11.86 states/eV/cell

a b c (Å): 9.465 9.465 3.718
angles (deg): 90.00 90.00 90.00
Space group P4/mbm (No. 127)
Symmetry-distinct sites (fractional):
La 0.000 0.000 0.000
Dy 0.124 0.376 0.000
Ho 0.172 0.672 0.500


--- b ---
Material: LaDy2Ho2
Method: DFT, PBE-GGA
State: relaxed

Results
Total moment = 0.00 μB/f.u.
D(E_F) = 14.46 states/eV/cell

a b c (Å): 3.579 3.579 25.283
angles (deg): 90.00 90.00 90.00
Space group I4/mmm (No. 139)
Symmetry-distinct sites (fractional):
La 0.000 0.000 0.000
Dy 0.000 0.000 0.396
Ho 0.000 0.000 0.201


Most stable to least stable: b, a


--- a ---
Material: La2Dy3Ho2
Method: DFT, PBE-GGA
State: relaxed

Results
Total moment = 0.00 μB/f.u.
D(E_F) = 9.72 states/eV/cell

a b c (Å): 3.607 6.185 10.806
angles (deg): 95.24 90.03 106.89
Space group P-1 (No. 2)
Symmetry-distinct sites (fractional):
La 0.215 0.429 0.354
Dy 0.357 0.716 0.931
Dy 0.500 0.000 0.500
Ho 0.071 0.140 0.790


--- b ---
Material: La2Dy3Ho2
Method: DFT, PBE-GGA
State: relaxed

Results
Total moment = 0.00 μB/f.u.
D(E_F) = 22.49 states/eV/cell

a b c (Å): 17.692 3.522 8.600
angles (deg): 90.00 118.93 90.00
Space group C2/m (No. 12)
Symmetry-distinct sites (fractional):
La 0.067 0.000 0.218
Dy 0.000 0.500 0.500
Dy 0.212 0.500 0.626
Ho 0.153 0.500 0.965


Most stable to least stable: a, b


--- a ---
Material: La2Dy8Ho
Method: DFT, PBE-GGA
State: relaxed

Results
Total moment = 0.00 μB/f.u.
D(E_F) = 33.70 states/eV/cell

a b c (Å): 18.250 5.069 8.006
angles (deg): 90.00 105.29 90.00
Space group C2/m (No. 12)
Symmetry-distinct sites (fractional):
La 0.227 0.000 0.137
Dy 0.044 0.000 0.228
Dy 0.089 0.500 0.952
Dy 0.134 0.000 0.675
Dy 0.180 0.500 0.407
Ho 0.000 0.500 0.500


--- b ---
Material: La2Dy8Ho
Method: DFT, PBE-GGA
State: relaxed

Results
Total moment = 0.00 μB/f.u.
D(E_F) = 34.39 states/eV/cell

a b c (Å): 18.831 7.060 5.630
angles (deg): 90.00 92.48 90.00
Space group C2/m (No. 12)
Symmetry-distinct sites (fractional):
La 0.216 0.000 0.256
Dy 0.044 0.000 0.237
Dy 0.127 0.233 0.736
Dy 0.183 0.500 0.232
Ho 0.000 0.500 0.000


Most stable to least stable: a, b


--- a ---
Material: La3DyHo
Method: DFT, PBE-GGA
State: relaxed

Results
Total moment = 0.00 μB/f.u.
D(E_F) = 30.78 states/eV/cell

a b c (Å): 3.608 17.741 11.144
angles (deg): 90.00 90.00 90.00
Space group Pbcm (No. 57)
Symmetry-distinct sites (fractional):
La 0.234 0.250 0.000
La 0.260 0.575 0.058
Dy 0.227 0.103 0.750
Ho 0.272 0.726 0.250


--- b ---
Material: La3DyHo
Method: DFT, PBE-GGA
State: relaxed

Results
Total moment = 0.00 μB/f.u.
D(E_F) = 57.83 states/eV/cell

a b c (Å): 15.601 13.613 6.713
angles (deg): 90.00 104.86 90.00
Space group C2/c (No. 15)
Symmetry-distinct sites (fractional):
La 0.096 0.184 0.434
La 0.198 0.437 0.649
La 0.199 0.312 0.150
Dy 0.000 0.309 0.750
Dy 0.000 0.435 0.250
Ho 0.099 0.069 0.936


Most stable to least stable: b, a


--- a ---
Material: LaDyHo6
Method: DFT, PBE-GGA
State: relaxed

Results
Total moment = 0.00 μB/f.u.
D(E_F) = 11.73 states/eV/cell

a b c (Å): 5.031 5.031 10.063
angles (deg): 90.00 90.00 90.00
Space group P4/mmm (No. 123)
Symmetry-distinct sites (fractional):
La 0.000 0.000 0.000
Dy 0.000 0.000 0.500
Ho 0.000 0.500 0.255
Ho 0.500 0.500 0.000
Ho 0.500 0.500 0.500


--- b ---
Material: LaDyHo6
Method: DFT, PBE-GGA
State: relaxed

Results
Total moment = 0.00 μB/f.u.
D(E_F) = 13.08 states/eV/cell

a b c (Å): 6.533 6.556 7.498
angles (deg): 114.86 115.51 90.26
Space group P-1 (No. 2)
Symmetry-distinct sites (fractional):
La 0.000 0.000 0.000
Dy 0.500 0.000 0.000
Ho 0.236 0.561 0.472
Ho 0.253 0.500 0.999
Ho 0.268 0.089 0.535


Most stable to least stable: a, b


--- a ---
Material: La2Dy2Ho7
Method: DFT, PBE-GGA
State: relaxed

Results
Total moment = 0.11 μB/f.u.
D(E_F) = 35.62 states/eV/cell

a b c (Å): 6.516 12.137 9.417
angles (deg): 90.00 90.00 90.00
Space group Cmmm (No. 65)
Symmetry-distinct sites (fractional):
La 0.249 0.000 0.000
Dy 0.000 0.224 0.500
Ho 0.000 0.000 0.317
Ho 0.000 0.500 0.500
Ho 0.250 0.250 0.185


--- b ---
Material: La2Dy2Ho7
Method: DFT, PBE-GGA
State: relaxed

Results
Total moment = 0.00 μB/f.u.
D(E_F) = 37.52 states/eV/cell

a b c (Å): 11.258 11.573 6.113
angles (deg): 90.00 113.98 90.00
Space group C2/m (No. 12)
Symmetry-distinct sites (fractional):
La 0.096 0.000 0.310
Dy 0.000 0.289 0.000
Ho 0.000 0.500 0.500
Ho 0.174 0.261 0.680
Ho 0.228 0.500 0.074


Most stable to least stable: b, a